P | # Rb2CdPtBr6 | Alexandria | PBE | optimized geometry
data_Rb2CdPtBr6
_chemical_formula_sum 'Rb4 Cd2 Pt2 Br12'
_cell_length_a 7.706
_cell_length_b 7.706
_cell_length_c 10.920
_cell_angle_alpha 90.00
_cell_angle_beta 90.00
_cell_angle_gamma 90.00
_space_group_name_H-M_alt 'I 4/m m m'
_space_group_IT_number 139
_space_group_name_Hall '-I 4 2'
loop_
_atom_site_label
_atom_site_type_symbol
_atom_site_fract_x
_atom_site_fract_y
_atom_site_fract_z
_atom_site_occupancy
Rb1 Rb 0.000 0.500 0.250 1
Cd1 Cd 0.000 0.000 0.000 1
Pt1 Pt 0.000 0.000 0.500 1
Br1 Br 0.000 0.000 0.264 1
Br2 Br 0.241 0.241 0.500 1
# **Size of the total moment**: 0.000 μB per atom

=====

Q | # Rb2CdPtBr6 | Alexandria | PBE | optimized geometry
data_Rb2CdPtBr6
_chemical_formula_sum 'Rb12 Cd6 Pt6 Br36'
_cell_length_a 7.6408
_cell_length_b 7.6408
_cell_length_c 39.6061
_cell_angle_alpha 90.00
_cell_angle_beta 90.00
_cell_angle_gamma 120.00
_space_group_name_H-M_alt 'R -3 m'
_space_group_IT_number 166
_space_group_name_Hall '-R 3 2"'
loop_
_atom_site_label
_atom_site_type_symbol
_atom_site_fract_x
_atom_site_fract_y
_atom_site_fract_z
_atom_site_occupancy
Rb1 Rb 0.0000 0.0000 0.1204 1
Rb2 Rb 0.0000 0.0000 0.2992 1
Cd1 Cd 0.0000 0.0000 0.4148 1
Pt1 Pt 0.0000 0.0000 0.0000 1
Pt2 Pt 0.0000 0.0000 0.5000 1
Br1 Br 0.0066 0.5033 0.1267 1
Br2 Br 0.0089 0.5044 0.7054 1
# **Size of the total moment**: 0.093 μB per atom

=====

Which structure wins on stability? P wins.

=====

P | # PuCdBr6 | Alexandria | PBE | optimized geometry
data_PuCdBr6
_chemical_formula_sum 'Pu3 Cd3 Br18'
_cell_length_a 6.9686
_cell_length_b 6.9686
_cell_length_c 19.2000
_cell_angle_alpha 90.00
_cell_angle_beta 90.00
_cell_angle_gamma 120.00
_space_group_name_H-M_alt 'R -3'
_space_group_IT_number 148
_space_group_name_Hall '-R 3'
loop_
_atom_site_label
_atom_site_type_symbol
_atom_site_fract_x
_atom_site_fract_y
_atom_site_fract_z
_atom_site_occupancy
Pu1 Pu 0.0000 0.0000 0.0000 1
Cd1 Cd 0.0000 0.0000 0.5000 1
Br1 Br 0.0048 0.3278 0.0834 1
# **Size of the total moment**: 0.500 μB per atom

=====

Q | # PuCdBr6 | Alexandria | PBE | optimized geometry
data_PuCdBr6
_chemical_formula_sum 'Pu2 Cd2 Br12'
_cell_length_a 6.961
_cell_length_b 13.041
_cell_length_c 6.959
_cell_angle_alpha 90.00
_cell_angle_beta 109.59
_cell_angle_gamma 90.00
_space_group_name_H-M_alt 'C 1 2/m 1'
_space_group_IT_number 12
loop_
_space_group_symop_operation_xyz
'x,y,z'
'-x,-y,-z'
'-x,y,-z'
'x,-y,z'
'x+1/2,y+1/2,z'
'-x+1/2,-y+1/2,-z'
'-x+1/2,y+1/2,-z'
'x+1/2,-y+1/2,z'
loop_
_atom_site_label
_atom_site_type_symbol
_atom_site_fract_x
_atom_site_fract_y
_atom_site_fract_z
_atom_site_occupancy
Pu1 Pu 0.000 0.000 0.000 1
Cd1 Cd 0.000 0.500 0.500 1
Br1 Br 0.240 0.000 0.761 1
Br2 Br 0.247 0.352 0.746 1
# **Size of the total moment**: 0.500 μB per atom

=====

Which structure wins on stability? Q wins.

=====

P | # Rb3Cd2Br7 | Alexandria | PBE | optimized geometry
data_Rb3Cd2Br7
_chemical_formula_sum 'Rb6 Cd4 Br14'
_cell_length_a 5.651
_cell_length_b 28.039
_cell_length_c 5.546
_cell_angle_alpha 90.00
_cell_angle_beta 90.00
_cell_angle_gamma 90.00
_space_group_name_H-M_alt 'C m m m'
_space_group_IT_number 65
_space_group_name_Hall '-C 2 2'
loop_
_atom_site_label
_atom_site_type_symbol
_atom_site_fract_x
_atom_site_fract_y
_atom_site_fract_z
_atom_site_occupancy
Rb1 Rb 0.000 0.000 0.000 1
Rb2 Rb 0.000 0.176 0.000 1
Cd1 Cd 0.000 0.399 0.500 1
Br1 Br 0.000 0.094 0.500 1
Br2 Br 0.000 0.302 0.500 1
Br3 Br 0.000 0.405 0.000 1
Br4 Br 0.000 0.500 0.500 1
# **Size of the total moment**: 0.000 μB per atom

=====

Q | # Rb3Cd2Br7 | Alexandria | PBE | optimized geometry
data_Rb3Cd2Br7
_chemical_formula_sum 'Rb6 Cd4 Br14'
_cell_length_a 5.604
_cell_length_b 5.604
_cell_length_c 28.003
_cell_angle_alpha 90.00
_cell_angle_beta 90.00
_cell_angle_gamma 90.00
_space_group_name_H-M_alt 'I 4/m m m'
_space_group_IT_number 139
_space_group_name_Hall '-I 4 2'
loop_
_atom_site_label
_atom_site_type_symbol
_atom_site_fract_x
_atom_site_fract_y
_atom_site_fract_z
_atom_site_occupancy
Rb1 Rb 0.000 0.000 0.000 1
Rb2 Rb 0.000 0.000 0.178 1
Cd1 Cd 0.000 0.000 0.399 1
Br1 Br 0.000 0.000 0.302 1
Br2 Br 0.000 0.000 0.500 1
Br3 Br 0.000 0.500 0.095 1
# **Size of the total moment**: 0.000 μB per atom

=====

Which structure wins on stability? Q wins.

=====

P | # RbCdSe2Br | Alexandria | PBE | optimized geometry
data_RbCdSe2Br
_chemical_formula_sum 'Rb1 Cd1 Se2 Br1'
_cell_length_a 6.618
_cell_length_b 6.618
_cell_length_c 6.394
_cell_angle_alpha 90.00
_cell_angle_beta 90.00
_cell_angle_gamma 90.00
_space_group_name_H-M_alt 'P 4/m m m'
_space_group_IT_number 123
_space_group_name_Hall '-P 4 2'
loop_
_atom_site_label
_atom_site_type_symbol
_atom_site_fract_x
_atom_site_fract_y
_atom_site_fract_z
_atom_site_occupancy
Rb1 Rb 0.000 0.000 0.000 1
Cd1 Cd 0.500 0.500 0.500 1
Se1 Se 0.000 0.500 0.000 1
Br1 Br 0.000 0.000 0.500 1
# **Size of the total moment**: 0.810 μB per atom

=====

Q | # RbCdSe2Br | Alexandria | PBE | optimized geometry
data_RbCdSe2Br
_chemical_formula_sum 'Rb1 Cd1 Se2 Br1'
_cell_length_a 5.284
_cell_length_b 5.284
_cell_length_c 6.029
_cell_angle_alpha 90.00
_cell_angle_beta 90.00
_cell_angle_gamma 90.00
_space_group_name_H-M_alt 'P 4/m m m'
_space_group_IT_number 123
_space_group_name_Hall '-P 4 2'
loop_
_atom_site_label
_atom_site_type_symbol
_atom_site_fract_x
_atom_site_fract_y
_atom_site_fract_z
_atom_site_occupancy
Rb1 Rb 0.000 0.000 0.000 1
Cd1 Cd 0.500 0.500 0.500 1
Se1 Se 0.000 0.500 0.500 1
Br1 Br 0.500 0.500 0.000 1
# **Size of the total moment**: 0.207 μB per atom

=====

Which structure wins on stability? Q wins.

=====

P | # Cd2ReBr | Alexandria | PBE | optimized geometry
data_Cd2ReBr
_chemical_formula_sum 'Cd2 Re1 Br1'
_cell_length_a 2.933
_cell_length_b 3.262
_cell_length_c 8.860
_cell_angle_alpha 90.00
_cell_angle_beta 90.00
_cell_angle_gamma 90.00
_space_group_name_H-M_alt 'P m m m'
_space_group_IT_number 47
loop_
_space_group_symop_operation_xyz
'x,y,z'
'-x,-y,-z'
'-x,-y,z'
'x,y,-z'
'x,-y,-z'
'-x,y,z'
'-x,y,-z'
'x,-y,z'
loop_
_atom_site_label
_atom_site_type_symbol
_atom_site_fract_x
_atom_site_fract_y
_atom_site_fract_z
_atom_site_occupancy
Cd1 Cd 0.000 0.000 0.215 1
Re1 Re 0.500 0.500 0.000 1
Br1 Br 0.000 0.500 0.500 1
# **Size of the total moment**: 0.000 μB per atom

=====

Q | # Cd2ReBr | Alexandria | PBE | optimized geometry
data_Cd2ReBr
_chemical_formula_sum 'Cd6 Re3 Br3'
_cell_length_a 3.2454
_cell_length_b 3.2454
_cell_length_c 27.0793
_cell_angle_alpha 90.00
_cell_angle_beta 90.00
_cell_angle_gamma 120.00
_space_group_name_H-M_alt 'R -3 m'
_space_group_IT_number 166
_space_group_name_Hall '-R 3 2"'
loop_
_atom_site_label
_atom_site_type_symbol
_atom_site_fract_x
_atom_site_fract_y
_atom_site_fract_z
_atom_site_occupancy
Cd1 Cd 0.0000 0.0000 0.2461 1
Re1 Re 0.0000 0.0000 0.5000 1
Br1 Br 0.0000 0.0000 0.0000 1
# **Size of the total moment**: 0.193 μB per atom

=====

R | # Cd2ReBr | Alexandria | PBE | optimized geometry
data_Cd2ReBr
_chemical_formula_sum 'Cd2 Re1 Br1'
_cell_length_a 3.049
_cell_length_b 3.049
_cell_length_c 9.354
_cell_angle_alpha 90.00
_cell_angle_beta 90.00
_cell_angle_gamma 90.00
_space_group_name_H-M_alt 'P 4 m m'
_space_group_IT_number 99
loop_
_space_group_symop_operation_xyz
'x,y,z'
'-y,x,z'
'-x,-y,z'
'y,-x,z'
'-x,y,z'
'y,x,z'
'x,-y,z'
'-y,-x,z'
loop_
_atom_site_label
_atom_site_type_symbol
_atom_site_fract_x
_atom_site_fract_y
_atom_site_fract_z
_atom_site_occupancy
Cd1 Cd 0.000 0.000 0.000 1
Cd2 Cd 0.500 0.500 0.266 1
Re1 Re 0.000 0.000 0.482 1
Br1 Br 0.500 0.500 0.646 1
# **Size of the total moment**: 0.000 μB per atom

=====

S | # Cd2ReBr | Alexandria | PBE | optimized geometry
data_Cd2ReBr
_chemical_formula_sum 'Cd4 Re2 Br2'
_cell_length_a 2.974
_cell_length_b 4.859
_cell_length_c 13.347
_cell_angle_alpha 90.00
_cell_angle_beta 90.00
_cell_angle_gamma 90.00
_space_group_name_H-M_alt 'I m m 2'
_space_group_IT_number 44
loop_
_space_group_symop_operation_xyz
'x,y,z'
'-x,-y,z'
'-x,y,z'
'x,-y,z'
'x+1/2,y+1/2,z+1/2'
'-x+1/2,-y+1/2,z+1/2'
'-x+1/2,y+1/2,z+1/2'
'x+1/2,-y+1/2,z+1/2'
loop_
_atom_site_label
_atom_site_type_symbol
_atom_site_fract_x
_atom_site_fract_y
_atom_site_fract_z
_atom_site_occupancy
Cd1 Cd 0.000 0.000 0.000 1
Cd2 Cd 0.000 0.500 0.152 1
Re1 Re 0.000 0.000 0.472 1
Br1 Br 0.000 0.500 0.818 1
# **Size of the total moment**: 0.000 μB per atom

=====

Which structure wins on stability? S wins.

=====

P | # Cd2ReBr | Alexandria | PBE | optimized geometry
data_Cd2ReBr
_chemical_formula_sum 'Cd2 Re1 Br1'
_cell_length_a 5.453
_cell_length_b 5.453
_cell_length_c 2.853
_cell_angle_alpha 90.00
_cell_angle_beta 90.00
_cell_angle_gamma 90.00
_space_group_name_H-M_alt 'P 4/m m m'
_space_group_IT_number 123
_space_group_name_Hall '-P 4 2'
loop_
_atom_site_label
_atom_site_type_symbol
_atom_site_fract_x
_atom_site_fract_y
_atom_site_fract_z
_atom_site_occupancy
Cd1 Cd 0.000 0.500 0.000 1
Re1 Re 0.000 0.000 0.500 1
Br1 Br 0.500 0.500 0.500 1
# **Size of the total moment**: 0.355 μB per atom

=====

Q | # Cd2ReBr | Alexandria | PBE | optimized geometry
data_Cd2ReBr
_chemical_formula_sum 'Cd4 Re2 Br2'
_cell_length_a 5.983
_cell_length_b 8.685
_cell_length_c 3.029
_cell_angle_alpha 90.00
_cell_angle_beta 90.00
_cell_angle_gamma 90.00
_space_group_name_H-M_alt 'C m m m'
_space_group_IT_number 65
_space_group_name_Hall '-C 2 2'
loop_
_atom_site_label
_atom_site_type_symbol
_atom_site_fract_x
_atom_site_fract_y
_atom_site_fract_z
_atom_site_occupancy
Cd1 Cd 0.250 0.250 0.000 1
Re1 Re 0.000 0.000 0.500 1
Br1 Br 0.000 0.500 0.500 1
# **Size of the total moment**: 0.000 μB per atom

=====

Which structure wins on stability? Q wins.